CuPt2Au: optimized geometry, PBE.

a = 3.928 Å, b = 3.928 Å, c = 8.036 Å
α = 90.00°, β = 90.00°, γ = 90.00°
Atoms (fractional coordinates):
Cu 0.000 0.000 0.000
Cu 0.500 0.500 0.500
Pt 0.000 0.500 0.250
Pt 0.000 0.500 0.750
Pt 0.500 0.000 0.250
Pt 0.500 0.000 0.750
Au 0.000 0.000 0.500
Au 0.500 0.500 0.000

Summary:
Energy above the most stable polymorph in this dataset: 91 meV per atom



Cu2Pt2Au: optimized geometry, PBE.

a = 7.387 Å, b = 7.387 Å, c = 2.807 Å
α = 90.00°, β = 90.00°, γ = 90.00°
Atoms (fractional coordinates):
Cu 0.165 0.335 0.000
Cu 0.335 0.835 0.000
Cu 0.665 0.165 0.000
Cu 0.835 0.665 0.000
Pt 0.132 0.632 0.500
Pt 0.368 0.132 0.500
Pt 0.632 0.868 0.500
Pt 0.868 0.368 0.500
Au 0.000 0.000 0.500
Au 0.500 0.500 0.500

Summary:
Energy above the most stable polymorph in this dataset: 48 meV per atom



CuPt4Au: optimized geometry, PBE.

a = 5.254 Å, b = 5.254 Å, c = 5.254 Å
α = 60.00°, β = 60.00°, γ = 60.00°
Atoms (fractional coordinates):
Cu 0.000 0.000 0.000
Pt 0.125 0.625 0.625
Pt 0.625 0.125 0.625
Pt 0.625 0.625 0.125
Pt 0.625 0.625 0.625
Au 0.250 0.250 0.250

Summary:
Energy above the most stable polymorph in this dataset: 200 meV per atom